A relaxed structure of LiMoPbO5. Source: Alexandria, functional GGA+U.

Geometry as POSCAR:
```
LiMoPbO5
1.0
3.2379 -5.5818 0.0000
3.2379 5.5818 0.0000
-3.1950 0.0000 7.3909
Li Mo Pb O
2 2 2 10
Direct
0.0016 0.9984 0.7500 Li
0.9984 0.0016 0.2500 Li
0.4680 0.5320 0.7500 Mo
0.5320 0.4680 0.2500 Mo
0.0000 0.5000 0.0000 Pb
0.5000 0.0000 0.5000 Pb
0.1771 0.8229 0.2500 O
0.1859 0.3026 0.1718 O
0.3026 0.1859 0.6718 O
0.3591 0.6116 0.5665 O
0.3884 0.6409 0.9335 O
0.6116 0.3591 0.0665 O
0.6409 0.3884 0.4335 O
0.6974 0.8141 0.3282 O
0.8141 0.6974 0.8282 O
0.8229 0.1771 0.7500 O
```

Values from the calculation:
The mass density comes out at 4.849 g cm⁻³. The value obtained for the calculated total energy is -0.2264 Ha/atom. Its volume is 16.698 Å³/atom.